# 1
A plane-wave DFT calculation with PBE-GGA was carried out for crystalline Tm6Tl2Os at its relaxed geometry.

Structure (extended XYZ):
```
9
Lattice="-2.504 3.594 7.360 2.504 -3.594 7.360 2.504 3.594 -7.360" Properties=species:S:1:pos:R:3 pbc="T T T"
Tm 2.504 1.706 -2.269
Tm 0.000 1.592 0.000
Tm 2.504 1.706 2.269
Tm 0.000 1.888 5.091
Tm 0.000 5.596 0.000
Tm 0.000 1.888 9.628
Tl 2.504 0.000 4.920
Tl 0.000 3.594 2.439
Os 2.504 0.000 0.000
```

Properties
final energy	-4.90	eV/atom
ΔE_f	-0.144	eV per atom
ΔE to the lowest computed polymorph	165.6	meV per atom

---

# 2
A plane-wave DFT calculation with PBE-GGA was carried out for crystalline TlSi2AgIr at its relaxed geometry.

Structure (extended XYZ):
```
5
Lattice="4.983 0.000 0.000 0.000 4.983 0.000 0.000 0.000 5.047" Properties=species:S:1:pos:R:3 pbc="T T T"
Tl 0.000 0.000 0.000
Si 0.000 2.492 0.000
Si 2.492 0.000 0.000
Ag 0.000 0.000 2.524
Ir 2.492 2.492 2.524
```

Properties
final energy	-3.06	eV/atom
E_form (uncorrected)	928	kJ/mol of formula units

---

# 3
A plane-wave DFT calculation with PBE-GGA was carried out for crystalline CeTh2Au at its relaxed geometry.

Structure (extended XYZ):
```
4
Lattice="1.809 1.044 10.302 -1.809 1.044 10.302 0.000 -2.088 10.302" Properties=species:S:1:pos:R:3 pbc="T T T"
Ce 0.000 0.000 0.000
Th 0.000 0.000 7.453
Th 0.000 0.000 13.098
Au 0.000 0.000 25.701
```

Properties
final energy	-6.15	eV/atom
ΔE_f	-0.135	eV per atom
ΔE to the lowest computed polymorph	154.0	meV per atom

---

# 4
A plane-wave DFT calculation with PBE-GGA was carried out for crystalline Ho6ZnGa5 at its relaxed geometry.

Structure (extended XYZ):
```
12
Lattice="5.041 0.000 0.000 0.000 7.064 0.000 -2.494 0.000 7.566" Properties=species:S:1:pos:R:3 pbc="T T T"
Ho 0.000 1.766 0.000
Ho 0.000 5.297 0.000
Ho 0.018 1.758 5.043
Ho 0.018 5.305 5.043
Ho 2.528 1.758 2.524
Ho 2.528 5.305 2.524
Zn 2.520 0.000 0.000
Ga 0.009 0.000 2.472
Ga 0.007 3.532 2.524
Ga 2.520 3.532 0.000
Ga 2.539 3.532 5.042
Ga 2.537 0.000 5.094
```

Properties
final energy	-4.21	eV/atom
ΔE_f	-0.553	eV per atom

---

# 5
A plane-wave DFT calculation with PBE-GGA was carried out for crystalline Dy2Zn5Cu4 at its relaxed geometry.

Structure (extended XYZ):
```
11
Lattice="0.000 4.345 8.118 2.622 0.000 8.118 2.622 4.345 0.000" Properties=species:S:1:pos:R:3 pbc="T T T"
Dy 2.622 4.345 2.127
Dy 2.622 4.345 14.109
Zn 1.311 2.172 0.000
Zn 1.311 2.172 4.059
Zn 1.311 2.172 8.118
Zn 2.622 4.345 8.118
Zn 3.934 6.517 12.177
Cu 2.622 2.991 6.005
Cu 2.622 2.991 10.231
Cu 2.622 5.698 6.005
Cu 2.622 5.698 10.231
```

Properties
final energy	-3.16	eV/atom
ΔE_f	-0.253	eV per atom

---

# 6
A plane-wave DFT calculation with PBE-GGA was carried out for crystalline ZrTaIr2O at its relaxed geometry.

Structure (extended XYZ):
```
5
Lattice="4.407 0.000 0.000 0.000 4.407 0.000 0.000 0.000 4.028" Properties=species:S:1:pos:R:3 pbc="T T T"
Zr 0.000 0.000 0.000
Ta 2.204 2.204 0.000
Ir 0.000 2.204 2.014
Ir 2.204 0.000 2.014
O 2.204 2.204 2.014
```

Properties
final energy	-8.93	eV/atom
E_form (uncorrected)	-152	kJ/mol of formula units

---

# 7
A plane-wave DFT calculation with PBE-GGA was carried out for crystalline Tl6HgPb8 at its relaxed geometry.

Structure (extended XYZ):
```
15
Lattice="4.481 2.587 6.940 -4.481 2.587 6.940 0.000 -5.174 6.940" Properties=species:S:1:pos:R:3 pbc="T T T"
Tl -3.091 -0.806 9.832
Tl -0.848 -3.080 10.987
Tl -2.243 2.274 10.987
Tl 2.243 -2.274 9.832
Tl 0.848 3.080 9.832
Tl 3.091 0.806 10.987
Hg 0.000 0.000 10.410
Pb 0.000 0.000 1.587
Pb -1.940 0.453 6.842
Pb 0.578 -1.907 6.842
Pb -1.363 -1.454 13.977
Pb 1.363 1.454 6.842
Pb -0.578 1.907 13.977
Pb 1.940 -0.453 13.977
Pb 0.000 0.000 19.232
```

Properties
final energy	-2.88	eV/atom
ΔE_f	0.063	eV per atom

---

# 8
A plane-wave DFT calculation with PBE-GGA was carried out for crystalline SiRuPt2 at its relaxed geometry.

Structure (extended XYZ):
```
8
Lattice="-1.868 1.868 9.089 1.868 -1.868 9.089 1.868 1.868 -9.089" Properties=species:S:1:pos:R:3 pbc="T T T"
Si 0.000 0.000 0.000
Si 0.000 1.868 4.545
Ru 1.868 0.000 4.545
Ru 0.000 0.000 9.089
Pt 2.801 0.926 -2.272
Pt 0.926 0.934 2.272
Pt -0.934 0.941 6.817
Pt 0.941 0.934 11.361
```

Properties
final energy	-6.59	eV/atom
E_form (uncorrected)	41	kJ/mol of formula units

---

Copy entry 7 word for word.
A plane-wave DFT calculation with PBE-GGA was carried out for crystalline Tl6HgPb8 at its relaxed geometry.

Structure (extended XYZ):
```
15
Lattice="4.481 2.587 6.940 -4.481 2.587 6.940 0.000 -5.174 6.940" Properties=species:S:1:pos:R:3 pbc="T T T"
Tl -3.091 -0.806 9.832
Tl -0.848 -3.080 10.987
Tl -2.243 2.274 10.987
Tl 2.243 -2.274 9.832
Tl 0.848 3.080 9.832
Tl 3.091 0.806 10.987
Hg 0.000 0.000 10.410
Pb 0.000 0.000 1.587
Pb -1.940 0.453 6.842
Pb 0.578 -1.907 6.842
Pb -1.363 -1.454 13.977
Pb 1.363 1.454 6.842
Pb -0.578 1.907 13.977
Pb 1.940 -0.453 13.977
Pb 0.000 0.000 19.232
```

Properties
final energy	-2.88	eV/atom
ΔE_f	0.063	eV per atom

---

final energy of number 4 (Ho6ZnGa5)? -4.21 eV/atom

---

What is the final energy in the eighth record? -6.59 eV/atom